This record from Alexandria describes TiBi2S4 after structural relaxation. The functional is PBE-GGA.

Structure (CIF):
```
data_TiBi2S4
_chemical_formula_sum 'Ti1 Bi2 S4'
_cell_length_a 4.668
_cell_length_b 4.668
_cell_length_c 8.048
_cell_angle_alpha 73.14
_cell_angle_beta 73.14
_cell_angle_gamma 90.00
_symmetry_space_group_name_H-M 'P 1'
_symmetry_Int_Tables_number 1
loop_
_symmetry_equiv_pos_as_xyz
'x,y,z'
loop_
_atom_site_label
_atom_site_fract_x
_atom_site_fract_y
_atom_site_fract_z
_atom_site_occupancy
S1 0.173 0.173 0.654 1
S2 0.827 0.827 0.346 1
S3 0.000 0.500 0.000 1
S4 0.500 0.000 0.000 1
Bi1 0.356 0.356 0.289 1
Bi2 0.644 0.644 0.711 1
Ti1 0.000 0.000 0.000 1
```

## Properties
The uncorrected formation energy is -2.7 eV per formula unit.


This record from Alexandria describes TiBiS2 after structural relaxation. The functional is PBE-GGA.

Structure (CIF):
```
data_TiBiS2
_chemical_formula_sum 'Ti1 Bi1 S2'
_cell_length_a 3.620
_cell_length_b 3.620
_cell_length_c 8.760
_cell_angle_alpha 90.00
_cell_angle_beta 90.00
_cell_angle_gamma 120.00
_symmetry_space_group_name_H-M 'P 1'
_symmetry_Int_Tables_number 1
loop_
_symmetry_equiv_pos_as_xyz
'x,y,z'
loop_
_atom_site_label
_atom_site_fract_x
_atom_site_fract_y
_atom_site_fract_z
_atom_site_occupancy
S1 0.333 0.667 0.718 1
S2 0.667 0.333 0.334 1
Bi1 0.000 0.000 0.944 1
Ti1 0.333 0.667 0.459 1
```

## Properties
The uncorrected formation energy is -2.2 eV per formula unit.


This record from Alexandria describes TiTl3Bi3S8 after structural relaxation. The functional is PBE-GGA.

Structure (CIF):
```
data_TiTl3Bi3S8
_chemical_formula_sum 'Ti1 Tl3 Bi3 S8'
_cell_length_a 8.000
_cell_length_b 7.999
_cell_length_c 8.841
_cell_angle_alpha 116.90
_cell_angle_beta 90.00
_cell_angle_gamma 120.00
_symmetry_space_group_name_H-M 'P 1'
_symmetry_Int_Tables_number 1
loop_
_symmetry_equiv_pos_as_xyz
'x,y,z'
loop_
_atom_site_label
_atom_site_fract_x
_atom_site_fract_y
_atom_site_fract_z
_atom_site_occupancy
Ti1 0.000 0.000 0.500 1
Tl1 0.000 0.000 0.000 1
Tl2 0.000 0.500 0.000 1
Tl3 0.500 0.500 0.000 1
Bi1 0.500 0.000 0.500 1
Bi2 0.500 0.500 0.500 1
Bi3 0.000 0.500 0.500 1
S1 0.262 0.524 0.286 1
S2 0.738 0.476 0.714 1
S3 0.789 0.577 0.311 1
S4 0.211 0.423 0.689 1
S5 0.788 0.022 0.310 1
S6 0.212 0.978 0.690 1
S7 0.234 0.022 0.310 1
S8 0.766 0.978 0.690 1
```

## Properties
The uncorrected formation energy is -8.6 eV per formula unit.


This record from Alexandria describes TlBi2S after structural relaxation. The functional is PBE-GGA.

Structure (CIF):
```
data_TlBi2S
_chemical_formula_sum 'Tl1 Bi2 S1'
_cell_length_a 5.331
_cell_length_b 5.331
_cell_length_c 5.331
_cell_angle_alpha 60.00
_cell_angle_beta 60.00
_cell_angle_gamma 60.00
_symmetry_space_group_name_H-M 'P 1'
_symmetry_Int_Tables_number 1
loop_
_symmetry_equiv_pos_as_xyz
'x,y,z'
loop_
_atom_site_label
_atom_site_fract_x
_atom_site_fract_y
_atom_site_fract_z
_atom_site_occupancy
S1 0.000 0.000 0.000 1
Tl1 0.500 0.500 0.500 1
Bi1 0.250 0.250 0.250 1
Bi2 0.750 0.750 0.750 1
```

## Properties
The uncorrected formation energy is 0.8 eV per formula unit.


This record from Alexandria describes Tl3BiS4 after structural relaxation. The functional is PBE-GGA.

Structure (CIF):
```
data_Tl3BiS4
_chemical_formula_sum 'Tl3 Bi1 S4'
_cell_length_a 4.142
_cell_length_b 7.334
_cell_length_c 7.334
_cell_angle_alpha 109.18
_cell_angle_beta 90.00
_cell_angle_gamma 90.00
_symmetry_space_group_name_H-M 'P 1'
_symmetry_Int_Tables_number 1
loop_
_symmetry_equiv_pos_as_xyz
'x,y,z'
loop_
_atom_site_label
_atom_site_fract_x
_atom_site_fract_y
_atom_site_fract_z
_atom_site_occupancy
Tl1 0.000 0.000 0.500 1
Tl2 0.500 0.500 0.500 1
Tl3 0.000 0.500 0.000 1
Bi1 0.500 0.000 0.000 1
S1 0.000 0.771 0.771 1
S2 0.500 0.239 0.761 1
S3 0.000 0.229 0.229 1
S4 0.500 0.761 0.239 1
```

## Properties
The uncorrected formation energy is -2.2 eV per formula unit.


This record from Alexandria describes Tl3BiS after structural relaxation. The functional is PBE-GGA.

Structure (CIF):
```
data_Tl3BiS
_chemical_formula_sum 'Tl3 Bi1 S1'
_cell_length_a 5.994
_cell_length_b 5.994
_cell_length_c 5.994
_cell_angle_alpha 90.00
_cell_angle_beta 90.00
_cell_angle_gamma 90.00
_symmetry_space_group_name_H-M 'P 1'
_symmetry_Int_Tables_number 1
loop_
_symmetry_equiv_pos_as_xyz
'x,y,z'
loop_
_atom_site_label
_atom_site_fract_x
_atom_site_fract_y
_atom_site_fract_z
_atom_site_occupancy
S1 0.500 0.500 0.500 1
Tl1 0.000 0.500 0.000 1
Tl2 0.000 0.000 0.500 1
Tl3 0.500 0.000 0.000 1
Bi1 0.000 0.000 0.000 1
```

## Properties
The uncorrected formation energy is 2.4 eV per formula unit.


This record from Alexandria describes Tl4BiS4 after structural relaxation. The functional is PBE-GGA.

Structure (CIF):
```
data_Tl4BiS4
_chemical_formula_sum 'Tl4 Bi1 S4'
_cell_length_a 4.188
_cell_length_b 7.259
_cell_length_c 9.325
_cell_angle_alpha 71.71
_cell_angle_beta 77.02
_cell_angle_gamma 73.23
_symmetry_space_group_name_H-M 'P 1'
_symmetry_Int_Tables_number 1
loop_
_symmetry_equiv_pos_as_xyz
'x,y,z'
loop_
_atom_site_label
_atom_site_fract_x
_atom_site_fract_y
_atom_site_fract_z
_atom_site_occupancy
Tl1 0.703 0.380 0.214 1
Tl2 0.910 0.766 0.413 1
Tl3 0.297 0.620 0.786 1
Tl4 0.090 0.234 0.587 1
Bi1 0.500 0.000 0.000 1
S1 0.328 0.044 0.301 1
S2 0.672 0.956 0.699 1
S3 0.898 0.287 0.917 1
S4 0.102 0.713 0.083 1
```

## Properties
The uncorrected formation energy is -2.8 eV per formula unit.


This record from Alexandria describes Tl4Bi3S8 after structural relaxation. The functional is PBE-GGA.

Structure (CIF):
```
data_Tl4Bi3S8
_chemical_formula_sum 'Tl4 Bi3 S8'
_cell_length_a 8.419
_cell_length_b 8.281
_cell_length_c 8.281
_cell_angle_alpha 89.79
_cell_angle_beta 120.50
_cell_angle_gamma 120.50
_symmetry_space_group_name_H-M 'P 1'
_symmetry_Int_Tables_number 1
loop_
_symmetry_equiv_pos_as_xyz
'x,y,z'
loop_
_atom_site_label
_atom_site_fract_x
_atom_site_fract_y
_atom_site_fract_z
_atom_site_occupancy
Tl1 0.500 0.000 0.000 1
Tl2 0.000 0.500 0.000 1
Tl3 0.000 0.000 0.000 1
Tl4 0.000 0.000 0.500 1
Bi1 0.500 0.500 0.000 1
Bi2 0.500 0.000 0.500 1
Bi3 0.500 0.500 0.500 1
S1 0.493 0.255 0.255 1
S2 0.000 0.759 0.241 1
S3 0.019 0.236 0.236 1
S4 0.500 0.742 0.258 1
S5 0.500 0.258 0.742 1
S6 0.981 0.764 0.764 1
S7 0.000 0.241 0.759 1
S8 0.507 0.745 0.745 1
```

## Properties
The uncorrected formation energy is -3.4 eV per formula unit.